Compound: Pm2SmTm2
Source: the Alexandria database
Functional: PBE
Structure: optimized geometry

Unit cell a=3.585 b=3.585 c=14.586 alpha=90.00 beta=90.00 gamma=120.00
Element x y z (fractional)
Pm  0.333  0.667  0.105
Pm  0.667  0.333  0.895
Sm  0.000  0.000  0.500
Tm  0.333  0.667  0.698
Tm  0.667  0.333  0.302

symmetry = P-3m1
crystal system = trigonal
energy of formation from the pure elements = 0.03 eV per atom
excess energy over the best structure of this formula in the dataset = 0 meV/atom